[1]
Entry from OQMD via LeMat-Bulk: a relaxed Er2Re3Os crystal (GGA-PBE).

Its formation energy is -1.77 eV per formula unit.

The space group is P6_3/mmc (No. 194) and the conventional cell measures 5.3006, 5.3006 and 8.9714 Å, with angles of 90.00, 90.00 and 120.00 degrees. The inequivalent atoms are Er at (0.3333, 0.6667, 0.0625), Re at (0.1710, 0.3419, 0.7500) and Os at (0.0000, 0.0000, 0.0000).


[2]
Entry from OQMD via LeMat-Bulk: a relaxed Er3ZrSc2OsS2 crystal (GGA-PBE).

The total energy is -124.2 eV/cell.

The space group is Amm2 (No. 38) and the conventional cell measures 3.810, 13.125 and 7.474 Å, with angles of 90.00, 90.00 and 90.00 degrees. The inequivalent atoms are Er at (0.000, 0.000, 0.000), Er at (0.000, 0.204, 0.384), Zr at (0.500, 0.000, 0.346), Sc at (0.500, 0.127, 0.710), Os at (0.000, 0.000, 0.607) and S at (0.500, 0.168, 0.092).


[3]
Entry from OQMD via LeMat-Bulk: a relaxed ErSbOs crystal (GGA-PBE).

The total energy is -82.7 eV/cell.

The space group is F-43m (No. 216) and the conventional cell measures 6.520, 6.520 and 6.520 Å, with angles of 90.00, 90.00 and 90.00 degrees. The inequivalent atoms are Er at (0.000, 0.000, 0.000), Sb at (0.000, 0.000, 0.500) and Os at (0.250, 0.250, 0.250).


[4]
Entry from OQMD via LeMat-Bulk: a relaxed Er3Sc3Sb2Os crystal (GGA-PBE).

The value obtained for the relative energy among the computed polymorphs is 0 meV per atom.

The space group is P-62m (No. 189) and the conventional cell measures 7.7857, 7.7857 and 4.1662 Å, with angles of 90.00, 90.00 and 120.00 degrees. The inequivalent atoms are Er at (0.0000, 0.3917, 0.0000), Sc at (0.0000, 0.7714, 0.5000), Sb at (0.3333, 0.6667, 0.5000) and Os at (0.0000, 0.0000, 0.0000).